(1)
Here is a geometry-optimized Hf2CdHgAs structure from the Alexandria database. Energies are from PBE-GGA. Values from VASP.

Calculated values
Its symmetry is P4/mmm. The total energy comes out at -4.82 eV per atom. The formation energy from the elements is 1.671 eV per formula unit.

```
&SYSTEM
  ibrav = 0, nat = 5, ntyp = 4
/
ATOMIC_SPECIES
Hf 178.49 Hf.upf
Cd 112.41 Cd.upf
Hg 200.59 Hg.upf
As 74.92 As.upf
CELL_PARAMETERS angstrom
4.990 0.000 0.000
0.000 4.990 0.000
0.000 0.000 5.004
ATOMIC_POSITIONS crystal
Hf 0.000 0.500 0.000
Hf 0.500 0.000 0.000
Cd 0.000 0.000 0.500
Hg 0.500 0.500 0.500
As 0.000 0.000 0.000
```

(2)
Here is a geometry-optimized ZrAg2W structure from the Alexandria database. Energies are from PBE-GGA. Values from VASP.

Calculated values
Its symmetry is Cmmm. The total energy comes out at -6.39 eV per atom. The formation energy from the elements is 1.634 eV per formula unit.

```
&SYSTEM
  ibrav = 0, nat = 4, ntyp = 3
/
ATOMIC_SPECIES
Zr 91.22 Zr.upf
Ag 107.87 Ag.upf
W 183.84 W.upf
CELL_PARAMETERS angstrom
2.873 -4.435 0.000
2.873 4.435 0.000
0.000 0.000 2.823
ATOMIC_POSITIONS crystal
Zr 0.000 0.000 0.000
Ag 0.000 0.500 0.500
Ag 0.500 0.000 0.500
W 0.500 0.500 0.000
```

(3)
Here is a geometry-optimized Sm2EuCl structure from the Alexandria database. Energies are from PBE-GGA. Values from VASP.

Calculated values
Its symmetry is R-3m. The total energy comes out at -5.85 eV per atom. The energy relative to the elements, uncorrected is -456 meV per atom.

```
&SYSTEM
  ibrav = 0, nat = 4, ntyp = 3
/
ATOMIC_SPECIES
Sm 150.36 Sm.upf
Eu 151.96 Eu.upf
Cl 35.45 Cl.upf
CELL_PARAMETERS angstrom
1.778 1.027 11.380
-1.778 1.027 11.380
0.000 -2.053 11.380
ATOMIC_POSITIONS crystal
Sm 0.101 0.101 0.101
Sm 0.899 0.899 0.899
Eu 0.000 0.000 0.000
Cl 0.500 0.500 0.500
```

(4)
Here is a geometry-optimized HgBiPb2 structure from the Alexandria database. Energies are from PBE-GGA. Values from VASP.

Calculated values
Its symmetry is P4/mmm. As for the offset from the most stable computed form: 0.009 eV/atom. The total energy comes out at -2.88 eV per atom. The formation energy from the elements is 0.086 eV per formula unit.

```
&SYSTEM
  ibrav = 0, nat = 4, ntyp = 3
/
ATOMIC_SPECIES
Hg 200.59 Hg.upf
Bi 208.98 Bi.upf
Pb 207.20 Pb.upf
CELL_PARAMETERS angstrom
4.088 0.000 0.000
0.000 4.088 0.000
0.000 0.000 7.296
ATOMIC_POSITIONS crystal
Hg 0.000 0.000 0.000
Bi 0.000 0.000 0.500
Pb 0.500 0.500 0.250
Pb 0.500 0.500 0.750
```

(5)
Here is a geometry-optimized NpTaBeO6 structure from the Alexandria database. Energies are from PBE-GGA. Values from VASP.

Calculated values
Its symmetry is P-31c. The total energy comes out at -9.05 eV per atom. The energy relative to the elements, uncorrected is -2576 meV per atom.

```
&SYSTEM
  ibrav = 0, nat = 18, ntyp = 4
/
ATOMIC_SPECIES
Np 237.00 Np.upf
Ta 180.95 Ta.upf
Be 9.01 Be.upf
O 16.00 O.upf
CELL_PARAMETERS angstrom
5.055 0.000 0.000
-2.528 4.378 0.000
0.000 0.000 9.013
ATOMIC_POSITIONS crystal
Np 0.333 0.667 0.250
Np 0.667 0.333 0.750
Ta 0.000 0.000 0.000
Ta 0.000 0.000 0.500
Be 0.333 0.667 0.750
Be 0.667 0.333 0.250
O 0.035 0.343 0.629
O 0.035 0.692 0.871
O 0.308 0.343 0.871
O 0.308 0.965 0.629
O 0.343 0.035 0.129
O 0.343 0.308 0.371
O 0.657 0.692 0.629
O 0.657 0.965 0.871
O 0.692 0.035 0.371
O 0.692 0.657 0.129
O 0.965 0.308 0.129
O 0.965 0.657 0.371
```

(6)
Here is a geometry-optimized RbLaMg2In structure from the Alexandria database. Energies are from PBE-GGA. Values from VASP.

Calculated values
Its symmetry is P4/mmm. The total energy comes out at -1.83 eV per atom. The formation energy from the elements is 2.658 eV per formula unit.

```
&SYSTEM
  ibrav = 0, nat = 5, ntyp = 4
/
ATOMIC_SPECIES
Rb 85.47 Rb.upf
La 138.91 La.upf
Mg 24.30 Mg.upf
In 114.82 In.upf
CELL_PARAMETERS angstrom
6.376 0.000 0.000
0.000 6.376 0.000
0.000 0.000 6.144
ATOMIC_POSITIONS crystal
Rb 0.000 0.000 0.000
La 0.500 0.500 0.500
Mg 0.000 0.500 0.500
Mg 0.500 0.000 0.500
In 0.500 0.500 0.000
```

(7)
Here is a geometry-optimized BeCdNi2 structure from the Alexandria database. Energies are from PBE-GGA. Values from VASP.

Calculated values
Its symmetry is I4/mmm. The total energy comes out at -3.99 eV per atom. The formation energy from the elements is 0.250 eV per formula unit.

```
&SYSTEM
  ibrav = 0, nat = 4, ntyp = 3
/
ATOMIC_SPECIES
Be 9.01 Be.upf
Cd 112.41 Cd.upf
Ni 58.69 Ni.upf
CELL_PARAMETERS angstrom
-1.898 1.898 3.468
1.898 -1.898 3.468
1.898 1.898 -3.468
ATOMIC_POSITIONS crystal
Be 0.000 0.000 0.000
Cd 0.500 0.500 0.000
Ni 0.250 0.750 0.500
Ni 0.750 0.250 0.500
```

(8)
Here is a geometry-optimized CeNd3Te4 structure from the Alexandria database. Energies are from PBE-GGA. Values from VASP.

Calculated values
Its symmetry is Cmmm. As for the offset from the most stable computed form: 0.000 eV/atom. The total energy comes out at -5.51 eV per atom. The energy relative to the elements, uncorrected is -1413 meV per atom.

```
&SYSTEM
  ibrav = 0, nat = 8, ntyp = 3
/
ATOMIC_SPECIES
Ce 140.12 Ce.upf
Nd 144.24 Nd.upf
Te 127.60 Te.upf
CELL_PARAMETERS angstrom
4.535 -6.358 0.000
4.535 6.358 0.000
0.000 0.000 4.460
ATOMIC_POSITIONS crystal
Ce 0.000 0.000 0.000
Nd 0.000 0.500 0.500
Nd 0.500 0.000 0.500
Nd 0.500 0.500 0.000
Te 0.249 0.751 0.000
Te 0.250 0.250 0.500
Te 0.750 0.750 0.500
Te 0.751 0.249 0.000
```

(9)
Here is a geometry-optimized LaMg2Os structure from the Alexandria database. Energies are from PBE-GGA. Values from VASP.

Calculated values
Its symmetry is Pm. The total energy comes out at -4.76 eV per atom. The formation energy from the elements is 0.303 eV per formula unit.

```
&SYSTEM
  ibrav = 0, nat = 4, ntyp = 3
/
ATOMIC_SPECIES
La 138.91 La.upf
Mg 24.30 Mg.upf
Os 190.23 Os.upf
CELL_PARAMETERS angstrom
3.449 0.000 0.000
0.000 3.444 0.000
-0.024 0.000 7.759
ATOMIC_POSITIONS crystal
La 0.000 0.000 0.000
Mg 0.500 0.500 0.631
Mg 0.998 0.000 0.398
Os 0.497 0.500 0.230
```

(10)
Here is a geometry-optimized CaTm2Se structure from the Alexandria database. Energies are from PBE-GGA. Values from VASP.

Calculated values
Its symmetry is R-3m. The total energy comes out at -4.18 eV per atom. The energy relative to the elements, uncorrected is -577 meV per atom.

```
&SYSTEM
  ibrav = 0, nat = 4, ntyp = 3
/
ATOMIC_SPECIES
Ca 40.08 Ca.upf
Tm 168.93 Tm.upf
Se 78.96 Se.upf
CELL_PARAMETERS angstrom
1.865 1.077 10.344
-1.865 1.077 10.344
0.000 -2.153 10.344
ATOMIC_POSITIONS crystal
Ca 0.000 0.000 0.000
Tm 0.110 0.110 0.110
Tm 0.890 0.890 0.890
Se 0.500 0.500 0.500
```

(11)
Here is a geometry-optimized Cs2DyGaS4 structure from the Alexandria database. Energies are from PBE-GGA. Values from VASP.

Calculated values
Its symmetry is Fddd. The total energy comes out at -4.56 eV per atom. The energy relative to the elements, uncorrected is -1325 meV per atom.

```
&SYSTEM
  ibrav = 0, nat = 16, ntyp = 4
/
ATOMIC_SPECIES
Cs 132.91 Cs.upf
Dy 162.50 Dy.upf
Ga 69.72 Ga.upf
S 32.06 S.upf
CELL_PARAMETERS angstrom
0.000 7.343 13.015
3.096 0.000 13.015
3.096 7.343 0.000
ATOMIC_POSITIONS crystal
Cs 0.054 0.054 0.696
Cs 0.304 0.304 0.946
Cs 0.696 0.696 0.054
Cs 0.946 0.946 0.304
Dy 0.125 0.125 0.125
Dy 0.875 0.875 0.875
Ga 0.375 0.375 0.375
Ga 0.625 0.625 0.625
S 0.012 0.638 0.550
S 0.300 0.550 0.638
S 0.362 0.988 0.700
S 0.450 0.700 0.988
S 0.550 0.300 0.012
S 0.638 0.012 0.300
S 0.700 0.450 0.362
S 0.988 0.362 0.450
```

(12)
Here is a geometry-optimized MnBeRh structure from the Alexandria database. Energies are from PBE-GGA. Values from VASP.

Calculated values
Its symmetry is Cmmm. As for the offset from the most stable computed form: 0.152 eV/atom. The total energy comes out at -6.94 eV per atom. The formation energy from the elements is -0.570 eV per formula unit.

```
&SYSTEM
  ibrav = 0, nat = 6, ntyp = 3
/
ATOMIC_SPECIES
Mn 54.94 Mn.upf
Be 9.01 Be.upf
Rh 102.91 Rh.upf
CELL_PARAMETERS angstrom
2.110 -6.068 0.000
2.110 6.068 0.000
0.000 0.000 2.644
ATOMIC_POSITIONS crystal
Mn 0.229 0.229 0.000
Mn 0.771 0.771 0.000
Be 0.181 0.819 0.000
Be 0.819 0.181 0.000
Rh 0.341 0.659 0.500
Rh 0.659 0.341 0.500
```

(13)
Here is a geometry-optimized Rb3Cr structure from the Alexandria database. Energies are from PBE-GGA. Values from VASP.

Calculated values
Its symmetry is I4/mmm. As for the offset from the most stable computed form: 0.009 eV/atom. The total energy comes out at -2.45 eV per atom. The formation energy from the elements is 2.723 eV per formula unit.

```
&SYSTEM
  ibrav = 0, nat = 4, ntyp = 2
/
ATOMIC_SPECIES
Rb 85.47 Rb.upf
Cr 52.00 Cr.upf
CELL_PARAMETERS angstrom
-3.479 3.479 4.860
3.479 -3.479 4.860
3.479 3.479 -4.860
ATOMIC_POSITIONS crystal
Rb 0.000 0.000 0.000
Rb 0.250 0.750 0.500
Rb 0.750 0.250 0.500
Cr 0.500 0.500 0.000
```

(14)
Here is a geometry-optimized CaMgNi2P2 structure from the Alexandria database. Energies are from PBE-GGA. Values from VASP.

Calculated values
Its symmetry is P-3m1. The total energy comes out at -5.06 eV per atom. The formation energy from the elements is -4.377 eV per formula unit.

```
&SYSTEM
  ibrav = 0, nat = 6, ntyp = 4
/
ATOMIC_SPECIES
Ca 40.08 Ca.upf
Mg 24.30 Mg.upf
Ni 58.69 Ni.upf
P 30.97 P.upf
CELL_PARAMETERS angstrom
3.977 0.000 0.000
-1.989 3.445 0.000
0.000 0.000 6.784
ATOMIC_POSITIONS crystal
Ca 0.000 0.000 0.000
Mg 0.000 0.000 0.500
Ni 0.333 0.667 0.675
Ni 0.667 0.333 0.325
P 0.333 0.667 0.284
P 0.667 0.333 0.716
```

(15)
Here is a geometry-optimized LaDy2Y12 structure from the Alexandria database. Energies are from PBE-GGA. Values from VASP.

Calculated values
Its symmetry is Cmme. The total energy comes out at -5.94 eV per atom. The formation energy from the elements is 2.643 eV per formula unit.

```
&SYSTEM
  ibrav = 0, nat = 30, ntyp = 3
/
ATOMIC_SPECIES
La 138.91 La.upf
Dy 162.50 Dy.upf
Y 88.91 Y.upf
CELL_PARAMETERS angstrom
3.541 -5.684 0.000
3.541 5.684 0.000
0.000 0.000 24.948
ATOMIC_POSITIONS crystal
La 0.250 0.750 0.000
La 0.750 0.250 0.000
Dy 0.250 0.750 0.270
Dy 0.250 0.750 0.731
Dy 0.750 0.250 0.269
Dy 0.750 0.250 0.730
Y 0.000 0.000 0.081
Y 0.000 0.000 0.919
Y 0.000 0.500 0.133
Y 0.000 0.500 0.867
Y 0.001 0.501 0.586
Y 0.001 0.999 0.438
Y 0.250 0.250 0.202
Y 0.250 0.250 0.327
Y 0.250 0.250 0.673
Y 0.250 0.250 0.798
Y 0.499 0.501 0.438
Y 0.499 0.999 0.586
Y 0.500 0.000 0.133
Y 0.500 0.000 0.867
Y 0.500 0.500 0.081
Y 0.500 0.500 0.919
Y 0.501 0.001 0.414
Y 0.501 0.499 0.562
Y 0.750 0.750 0.202
Y 0.750 0.750 0.327
Y 0.750 0.750 0.673
Y 0.750 0.750 0.798
Y 0.999 0.001 0.562
Y 0.999 0.499 0.414
```

(16)
Here is a geometry-optimized CsK2BaNa structure from the Alexandria database. Energies are from PBE-GGA. Values from VASP.

Calculated values
Its symmetry is P4/mmm. The total energy comes out at -1.10 eV per atom. The formation energy from the elements is 0.814 eV per formula unit.

```
&SYSTEM
  ibrav = 0, nat = 5, ntyp = 4
/
ATOMIC_SPECIES
Cs 132.91 Cs.upf
K 39.10 K.upf
Ba 137.33 Ba.upf
Na 22.99 Na.upf
CELL_PARAMETERS angstrom
7.244 0.000 0.000
0.000 7.244 0.000
0.000 0.000 7.447
ATOMIC_POSITIONS crystal
Cs 0.000 0.000 0.000
K 0.000 0.500 0.500
K 0.500 0.000 0.500
Ba 0.500 0.500 0.000
Na 0.500 0.500 0.500
```

(17)
Here is a geometry-optimized Ca8As2N3 structure from the Alexandria database. Energies are from PBE-GGA. Values from VASP.

Calculated values
Its symmetry is C2/m. The total energy comes out at -4.78 eV per atom. The energy relative to the elements, uncorrected is -911 meV per atom.

```
&SYSTEM
  ibrav = 0, nat = 13, ntyp = 3
/
ATOMIC_SPECIES
Ca 40.08 Ca.upf
As 74.92 As.upf
N 14.01 N.upf
CELL_PARAMETERS angstrom
7.140 -3.691 0.000
7.140 3.691 0.000
-2.061 0.000 6.013
ATOMIC_POSITIONS crystal
Ca 0.093 0.093 0.401
Ca 0.126 0.670 0.106
Ca 0.330 0.874 0.894
Ca 0.399 0.399 0.558
Ca 0.601 0.601 0.442
Ca 0.670 0.126 0.106
Ca 0.874 0.330 0.894
Ca 0.907 0.907 0.599
As 0.263 0.263 0.820
As 0.737 0.737 0.180
N 0.000 0.000 0.000
N 0.256 0.744 0.500
N 0.744 0.256 0.500
```

(18)
Here is a geometry-optimized Nb2PPd structure from the Alexandria database. Energies are from PBE-GGA. Values from VASP.

Calculated values
Its symmetry is I-42d. The total energy comes out at -7.92 eV per atom. The formation energy from the elements is -0.936 eV per formula unit.

```
&SYSTEM
  ibrav = 0, nat = 8, ntyp = 3
/
ATOMIC_SPECIES
Nb 92.91 Nb.upf
P 30.97 P.upf
Pd 106.42 Pd.upf
CELL_PARAMETERS angstrom
-3.506 3.506 2.775
3.506 -3.506 2.775
3.506 3.506 -2.775
ATOMIC_POSITIONS crystal
Nb 0.097 0.125 0.472
Nb 0.375 0.903 0.028
Nb 0.653 0.625 0.528
Nb 0.875 0.347 0.972
P 0.000 0.000 0.000
P 0.750 0.250 0.500
Pd 0.250 0.750 0.500
Pd 0.500 0.500 0.000
```

(19)
Here is a geometry-optimized Tb2Pm3In4 structure from the Alexandria database. Energies are from PBE-GGA. Values from VASP.

Calculated values
Its symmetry is P-3m1. As for the offset from the most stable computed form: 0.000 eV/atom. The total energy comes out at -4.25 eV per atom. The formation energy from the elements is -3.753 eV per formula unit.

```
&SYSTEM
  ibrav = 0, nat = 9, ntyp = 3
/
ATOMIC_SPECIES
Tb 158.93 Tb.upf
Pm 145.00 Pm.upf
In 114.82 In.upf
CELL_PARAMETERS angstrom
5.366 0.000 0.000
-2.683 4.647 0.000
0.000 0.000 10.346
ATOMIC_POSITIONS crystal
Tb 0.333 0.667 0.279
Tb 0.667 0.333 0.721
Pm 0.000 0.000 0.500
Pm 0.333 0.667 0.922
Pm 0.667 0.333 0.078
In 0.000 0.000 0.154
In 0.000 0.000 0.846
In 0.333 0.667 0.600
In 0.667 0.333 0.400
```

(20)
Here is a geometry-optimized Ce2TmSe2S2 structure from the Alexandria database. Energies are from PBE-GGA. Values from VASP.

Calculated values
Its symmetry is I4/mmm. The total energy comes out at -6.20 eV per atom. The energy relative to the elements, uncorrected is -1688 meV per atom.

```
&SYSTEM
  ibrav = 0, nat = 7, ntyp = 4
/
ATOMIC_SPECIES
Ce 140.12 Ce.upf
Tm 168.93 Tm.upf
Se 78.96 Se.upf
S 32.06 S.upf
CELL_PARAMETERS angstrom
-2.519 2.519 7.496
2.519 -2.519 7.496
2.519 2.519 -7.496
ATOMIC_POSITIONS crystal
Ce 0.123 0.123 0.000
Ce 0.877 0.877 0.000
Tm 0.500 0.500 0.000
Se 0.316 0.316 0.000
Se 0.684 0.684 0.000
S 0.000 0.500 0.500
S 0.500 0.000 0.500
```